GGA-PBE Ce2YZrN4, relaxed; formation energy (no corrections) = -1.609 eV/atom
1.0
-0.0085 2.6840 2.1525
-4.0200 -2.7730 3.4420
5.5551 -1.4727 1.8582
Y Ce N Zr
1 2 4 1
Direct
0.5000 0.5000 0.0000
0.5000 0.0000 0.5000
0.0000 0.5000 0.5000
0.5000 0.7665 0.7690
0.0000 0.7583 0.2377
0.0000 0.2417 0.7623
0.5000 0.2335 0.2310
0.0000 0.0000 0.0000

GGA-PBE SrBeTl3, relaxed; formation enthalpy at 0 K = 1.13 eV/atom
1.0
-1.3116 -6.2128 -0.3418
5.1824 -1.2841 3.4540
-3.4436 0.4338 5.3281
Sr Be Tl
1 1 3
Direct
0.0000 0.0000 0.0000
0.5000 0.5000 0.5000
0.0000 0.0000 0.5000
0.5000 0.0000 0.0000
0.0000 0.5000 0.0000

GGA-PBE Ga2Ge2Pd5, relaxed; formation enthalpy at 0 K = -0.40 eV/atom
1.0
-0.0072 -3.5644 -1.7539
7.2626 0.5164 3.4198
-8.0834 -0.9964 2.0581
Pd Ga Ge
5 2 2
Direct
0.0000 0.0000 0.0000
0.8864 0.7727 0.5253
0.6158 0.2315 0.9614
0.3842 0.7685 0.0386
0.1136 0.2273 0.4747
0.6489 0.2978 0.3291
0.3511 0.7022 0.6709
0.1434 0.2869 0.8181
0.8566 0.7131 0.1819

Size of the total moment, record by record: 0.00 0.00 0.00 μB per formula unit